P.
A plane-wave DFT calculation with PBE-GGA was carried out for crystalline SrHfOs2 at its relaxed geometry.

Geometry as POSCAR:
```
SrHfOs2
1.0
2.1943 -3.1956 2.7855
1.4548 1.2451 4.3725
-2.2284 -1.7448 3.8438
Hf Os Sr
1 2 1
direct
0.5000 0.5000 0.5000
0.2500 0.2500 0.2500
0.7500 0.7500 0.7500
0.0000 0.0000 0.0000
```

Properties
As for the volume: 19.227 Å³/atom. The magnetization comes out at 0.0 μB/cell. As for the space group: No. 225. The calculation puts the density of states at the Fermi level at 0.947 states/eV/atom.

---

Q.
A plane-wave DFT calculation with PBE-GGA was carried out for crystalline SrHfOs2 at its relaxed geometry.

Geometry as POSCAR:
```
SrHfOs2
1.0
4.9726 0.0000 0.0000
0.0000 4.9726 0.0000
2.4863 2.4863 8.9517
Hf Os Sr
2 4 2
direct
0.0000 0.0000 0.0000
0.7500 0.2500 0.5000
0.8599 0.1250 0.2500
0.8901 0.6250 0.2500
0.3750 0.1401 0.7500
0.8750 0.1099 0.7500
0.5000 0.5000 0.0000
0.2500 0.7500 0.5000
```

Properties
As for the volume: 27.668 Å³/atom. The magnetization comes out at 0.0 μB/cell. As for the space group: No. 122. The calculation puts the density of states at the Fermi level at 0.606 states/eV/atom.

---

Preferred: P; penalty for the next structure: 0.243 eV/atom.

---

P.
A plane-wave DFT calculation with PBE-GGA was carried out for crystalline SrHf2Os at its relaxed geometry.

Geometry as POSCAR:
```
SrHf2Os
1.0
5.6544 0.0000 0.0000
0.0000 5.6544 0.0000
2.8272 2.8272 8.5056
Hf Os Sr
4 2 2
direct
0.8748 0.1250 0.2500
0.8752 0.6250 0.2500
0.3750 0.1252 0.7500
0.8750 0.1248 0.7500
0.0000 0.0000 0.0000
0.7500 0.2500 0.5000
0.5000 0.5000 0.0000
0.2500 0.7500 0.5000
```

Properties
As for the volume: 33.993 Å³/atom. The magnetization comes out at 0.0 μB/cell. As for the space group: No. 141. The calculation puts the density of states at the Fermi level at 1.461 states/eV/atom.

---

Q.
A plane-wave DFT calculation with PBE-GGA was carried out for crystalline SrHf2Os at its relaxed geometry.

Geometry as POSCAR:
```
SrHf2Os
1.0
-1.9432 2.6840 3.6282
-4.8792 0.2741 0.5112
-2.2016 -2.2201 3.7904
Hf Os Sr
2 1 1
direct
0.2500 0.2500 0.2500
0.7500 0.7500 0.7500
0.5000 0.5000 0.5000
0.0000 0.0000 0.0000
```

Properties
As for the volume: 20.971 Å³/atom. The magnetization comes out at 0.0 μB/cell. As for the space group: No. 225. The calculation puts the density of states at the Fermi level at 1.397 states/eV/atom.

---

Preferred: Q; penalty for the next structure: 0.533 eV/atom.